VASP calculation (GGA-PBE) on an optimized crystal structure of Tb6Y8Th.

The structure in POSCAR format:
```
Tb6Y8Th
1.0
4.5297 2.6152 6.9163
-4.5297 2.6152 6.9163
0.0000 -5.2305 6.9163
Tb Y Th
6 8 1
Cartesian
-3.1430 -1.1492 9.5020
-0.5763 -3.2965 11.2468
-2.5667 2.1474 11.2468
2.5667 -2.1474 9.5020
0.5763 3.2965 9.5020
3.1430 1.1492 11.2468
0.0000 0.0000 1.6060
-0.1554 -1.9703 7.4865
-1.6286 1.1198 7.4865
-1.7841 -0.8505 13.2624
1.7841 0.8505 7.4865
1.6286 -1.1198 13.2624
0.1554 1.9703 13.2624
0.0000 0.0000 19.1428
0.0000 0.0000 10.3744
```

Properties
- spin magnetization (μB per cell) = 0.00
- polymorph energy (0 for the lowest one) (eV/f.u.) = 0.00
- energy of formation (eV/atom) = 0.1239

---

VASP calculation (GGA-PBE) on an optimized crystal structure of PRhWCl2.

The structure in POSCAR format:
```
PRhWCl2
1.0
4.5365 0.0000 0.0000
0.0000 4.5365 0.0000
0.0000 0.0000 5.1467
P Rh W Cl
1 1 1 2
Cartesian
0.0000 0.0000 0.0000
2.2682 2.2682 0.0000
2.2682 2.2682 2.5734
0.0000 2.2682 2.5734
2.2682 0.0000 2.5734
```

Properties
- spin magnetization (μB per cell) = 0.99
- polymorph energy (0 for the lowest one) (eV/f.u.) = 0.30
- formation energy without anion corrections (eV per formula unit) = 4.3

---

VASP calculation (GGA-PBE) on an optimized crystal structure of Cs2TcBr4F2.

The structure in POSCAR format:
```
Cs2TcBr4F2
1.0
6.5077 -3.8270 0.0000
6.5077 3.8270 0.0000
-4.3573 0.0000 6.2634
Cs Tc Br F
2 1 4 2
Cartesian
2.3734 0.0000 1.2711
6.2846 0.0000 4.9923
6.5077 0.0000 0.0000
2.9015 1.7962 4.6237
5.7565 1.7962 1.6397
2.9015 -1.7962 4.6237
5.7565 -1.7962 1.6397
0.3355 0.0000 5.4994
8.3225 0.0000 0.7640
```

Properties
- spin magnetization (μB per cell) = 3.00
- formation energy without anion corrections (eV per formula unit) = -14.2